[1]
BiTeOsI2 after structural relaxation, computed with PBE.

Values from the calculation:
Total DFT energy (no corrections) ... -3.634 eV/atom
Formation energy without anion corrections ... 637 meV/atom
Excess energy over the best structure of this formula in the dataset ... 0.00 kcal/mol of atoms

Lattice parameters (Å, degrees): 5.398 5.398 5.213 90.00 90.00 90.00
Space group P4/mmm (No. 123)
Inequivalent atoms, fractional coordinates:
Bi (0.000, 0.000, 0.000) [1 per cell]
Te (0.500, 0.500, 0.000) [1 per cell]
Os (0.500, 0.500, 0.500) [1 per cell]
I (0.000, 0.500, 0.500) [2 per cell]

[2]
BiTeOsI2 after structural relaxation, computed with PBE.

Values from the calculation:
Total DFT energy (no corrections) ... -2.776 eV/atom
Formation energy without anion corrections ... 1495 meV/atom
Excess energy over the best structure of this formula in the dataset ... 19.79 kcal/mol of atoms

Lattice parameters (Å, degrees): 6.082 6.082 6.060 90.00 90.00 90.00
Space group P4/mmm (No. 123)
Inequivalent atoms, fractional coordinates:
Bi (0.000, 0.000, 0.000) [1 per cell]
Te (0.000, 0.000, 0.500) [1 per cell]
Os (0.500, 0.500, 0.500) [1 per cell]
I (0.000, 0.500, 0.000) [2 per cell]

[3]
BiOsW2I after structural relaxation, computed with PBE.

Values from the calculation:
Total DFT energy (no corrections) ... -5.932 eV/atom
Formation energy without anion corrections ... 2582 meV/atom

Lattice parameters (Å, degrees): 4.955 4.955 4.853 90.00 90.00 90.00
Space group P4/mmm (No. 123)
Inequivalent atoms, fractional coordinates:
Bi (0.000, 0.000, 0.000) [1 per cell]
Os (0.500, 0.500, 0.000) [1 per cell]
W (0.000, 0.500, 0.500) [2 per cell]
I (0.500, 0.500, 0.500) [1 per cell]

[4]
Bi2PI after structural relaxation, computed with PBE.

Values from the calculation:
Total DFT energy (no corrections) ... -3.384 eV/atom
Formation energy without anion corrections ... 296 meV/atom
Excess energy over the best structure of this formula in the dataset ... 0.00 kcal/mol of atoms

Lattice parameters (Å, degrees): 7.143 7.143 13.298 90.00 90.00 90.00
Space group I-42d (No. 122)
Inequivalent atoms, fractional coordinates:
Bi (0.166, 0.250, 0.125) [8 per cell]
P (0.000, 0.000, 0.000) [4 per cell]
I (0.000, 0.000, 0.500) [4 per cell]

[5]
BiPI3 after structural relaxation, computed with PBE.

Values from the calculation:
Total DFT energy (no corrections) ... -2.327 eV/atom
Formation energy without anion corrections ... 461 meV/atom
Excess energy over the best structure of this formula in the dataset ... 1.80 kcal/mol of atoms

Lattice parameters (Å, degrees): 6.166 6.166 6.166 90.00 90.00 90.00
Space group Pm-3m (No. 221)
Inequivalent atoms, fractional coordinates:
Bi (0.000, 0.000, 0.000) [1 per cell]
P (0.500, 0.500, 0.500) [1 per cell]
I (0.000, 0.000, 0.500) [3 per cell]

[6]
BiPI3 after structural relaxation, computed with PBE.

Values from the calculation:
Total DFT energy (no corrections) ... -2.405 eV/atom
Formation energy without anion corrections ... 383 meV/atom
Excess energy over the best structure of this formula in the dataset ... 0.00 kcal/mol of atoms

Lattice parameters (Å, degrees): 5.511 5.511 5.511 90.00 90.00 90.00
Space group Pm-3m (No. 221)
Inequivalent atoms, fractional coordinates:
Bi (0.000, 0.000, 0.000) [1 per cell]
P (0.500, 0.500, 0.500) [1 per cell]
I (0.000, 0.500, 0.500) [3 per cell]

[7]
Bi2PI after structural relaxation, computed with PBE.

Values from the calculation:
Total DFT energy (no corrections) ... -3.257 eV/atom
Formation energy without anion corrections ... 424 meV/atom
Excess energy over the best structure of this formula in the dataset ... 2.94 kcal/mol of atoms

Lattice parameters (Å, degrees): 7.603 7.603 7.603 90.00 90.00 90.00
Space group Fm-3m (No. 225)
Inequivalent atoms, fractional coordinates:
Bi (0.250, 0.250, 0.250) [8 per cell]
P (0.000, 0.000, 0.000) [4 per cell]
I (0.000, 0.000, 0.500) [4 per cell]

[8]
BiPS4I after structural relaxation, computed with PBE.

Values from the calculation:
Total DFT energy (no corrections) ... -4.003 eV/atom
Formation energy without anion corrections ... -96 meV/atom

Lattice parameters (Å, degrees): 10.719 11.536 9.439 90.00 103.35 90.00
Space group C2/m (No. 12)
Inequivalent atoms, fractional coordinates:
Bi (0.225, 0.000, 0.489) [4 per cell]
P (0.114, 0.500, 0.769) [4 per cell]
S (0.075, 0.500, 0.230) [4 per cell]
S (0.166, 0.356, 0.662) [8 per cell]
S (0.193, 0.500, 0.982) [4 per cell]
I (0.026, 0.000, 0.729) [4 per cell]

[9]
BiPS2I after structural relaxation, computed with PBE.

Values from the calculation:
Total DFT energy (no corrections) ... -2.937 eV/atom
Formation energy without anion corrections ... 882 meV/atom
Excess energy over the best structure of this formula in the dataset ... 0.00 kcal/mol of atoms

Lattice parameters (Å, degrees): 5.112 5.112 5.783 90.00 90.00 90.00
Space group P4/mmm (No. 123)
Inequivalent atoms, fractional coordinates:
Bi (0.000, 0.000, 0.000) [1 per cell]
P (0.000, 0.000, 0.500) [1 per cell]
S (0.000, 0.500, 0.000) [2 per cell]
I (0.500, 0.500, 0.500) [1 per cell]

[10]
BiPS2I after structural relaxation, computed with PBE.

Values from the calculation:
Total DFT energy (no corrections) ... -2.877 eV/atom
Formation energy without anion corrections ... 942 meV/atom
Excess energy over the best structure of this formula in the dataset ... 1.37 kcal/mol of atoms

Lattice parameters (Å, degrees): 4.995 4.995 5.303 90.00 90.00 90.00
Space group P4/mmm (No. 123)
Inequivalent atoms, fractional coordinates:
Bi (0.000, 0.000, 0.000) [1 per cell]
P (0.500, 0.500, 0.000) [1 per cell]
S (0.000, 0.500, 0.500) [2 per cell]
I (0.500, 0.500, 0.500) [1 per cell]

[11]
BiSbPI2 after structural relaxation, computed with PBE.

Values from the calculation:
Total DFT energy (no corrections) ... -2.861 eV/atom
Formation energy without anion corrections ... 441 meV/atom
Excess energy over the best structure of this formula in the dataset ... 0.00 kcal/mol of atoms

Lattice parameters (Å, degrees): 5.315 5.315 5.632 90.00 90.00 90.00
Space group P4/mmm (No. 123)
Inequivalent atoms, fractional coordinates:
Bi (0.000, 0.000, 0.000) [1 per cell]
Sb (0.500, 0.500, 0.000) [1 per cell]
P (0.500, 0.500, 0.500) [1 per cell]
I (0.000, 0.500, 0.500) [2 per cell]

[12]
BiSb2PI after structural relaxation, computed with PBE.

Values from the calculation:
Total DFT energy (no corrections) ... -3.314 eV/atom
Formation energy without anion corrections ... 503 meV/atom
Excess energy over the best structure of this formula in the dataset ... 0.00 kcal/mol of atoms

Lattice parameters (Å, degrees): 5.383 5.383 5.224 90.00 90.00 90.00
Space group P4/mmm (No. 123)
Inequivalent atoms, fractional coordinates:
Bi (0.000, 0.000, 0.000) [1 per cell]
Sb (0.000, 0.500, 0.500) [2 per cell]
P (0.500, 0.500, 0.500) [1 per cell]
I (0.500, 0.500, 0.000) [1 per cell]

[13]
BiSbPI2 after structural relaxation, computed with PBE.

Values from the calculation:
Total DFT energy (no corrections) ... -2.488 eV/atom
Formation energy without anion corrections ... 815 meV/atom
Excess energy over the best structure of this formula in the dataset ... 8.61 kcal/mol of atoms

Lattice parameters (Å, degrees): 6.122 6.122 6.227 90.00 90.00 90.00
Space group P4/mmm (No. 123)
Inequivalent atoms, fractional coordinates:
Bi (0.000, 0.000, 0.000) [1 per cell]
Sb (0.000, 0.000, 0.500) [1 per cell]
P (0.500, 0.500, 0.500) [1 per cell]
I (0.000, 0.500, 0.000) [2 per cell]

[14]
BiSb2PI after structural relaxation, computed with PBE.

Values from the calculation:
Total DFT energy (no corrections) ... -2.648 eV/atom
Formation energy without anion corrections ... 1169 meV/atom
Excess energy over the best structure of this formula in the dataset ... 15.37 kcal/mol of atoms

Lattice parameters (Å, degrees): 6.006 6.006 6.084 90.00 90.00 90.00
Space group P4/mmm (No. 123)
Inequivalent atoms, fractional coordinates:
Bi (0.000, 0.000, 0.000) [1 per cell]
Sb (0.000, 0.500, 0.000) [2 per cell]
P (0.500, 0.500, 0.500) [1 per cell]
I (0.000, 0.000, 0.500) [1 per cell]

[15]
Si2BiPI after structural relaxation, computed with PBE.

Values from the calculation:
Total DFT energy (no corrections) ... -2.761 eV/atom
Formation energy without anion corrections ... 1576 meV/atom

Lattice parameters (Å, degrees): 5.591 5.591 6.034 90.00 90.00 90.00
Space group P4/mmm (No. 123)
Inequivalent atoms, fractional coordinates:
Si (0.000, 0.500, 0.000) [2 per cell]
Bi (0.000, 0.000, 0.000) [1 per cell]
P (0.500, 0.500, 0.500) [1 per cell]
I (0.000, 0.000, 0.500) [1 per cell]

[16]
Sr5Bi2PI after structural relaxation, computed with PBE.

Values from the calculation:
Total DFT energy (no corrections) ... -3.576 eV/atom
Formation energy without anion corrections ... -1006 meV/atom

Lattice parameters (Å, degrees): 5.650 8.270 16.535 90.00 90.00 90.00
Space group Immm (No. 71)
Inequivalent atoms, fractional coordinates:
Sr (0.000, 0.000, 0.000) [2 per cell]
Sr (0.000, 0.273, 0.355) [8 per cell]
Bi (0.000, 0.000, 0.206) [4 per cell]
P (0.000, 0.500, 0.500) [2 per cell]
I (0.000, 0.500, 0.000) [2 per cell]

[17]
BiTe2PI after structural relaxation, computed with PBE.

Values from the calculation:
Total DFT energy (no corrections) ... -2.504 eV/atom
Formation energy without anion corrections ... 921 meV/atom
Excess energy over the best structure of this formula in the dataset ... 13.00 kcal/mol of atoms

Lattice parameters (Å, degrees): 6.051 6.051 6.086 90.00 90.00 90.00
Space group P4/mmm (No. 123)
Inequivalent atoms, fractional coordinates:
Bi (0.000, 0.000, 0.000) [1 per cell]
Te (0.000, 0.500, 0.000) [2 per cell]
P (0.500, 0.500, 0.500) [1 per cell]
I (0.000, 0.000, 0.500) [1 per cell]

[18]
BiTe2PI after structural relaxation, computed with PBE.

Values from the calculation:
Total DFT energy (no corrections) ... -3.068 eV/atom
Formation energy without anion corrections ... 357 meV/atom
Excess energy over the best structure of this formula in the dataset ... 0.00 kcal/mol of atoms

Lattice parameters (Å, degrees): 5.393 5.393 5.253 90.00 90.00 90.00
Space group P4/mmm (No. 123)
Inequivalent atoms, fractional coordinates:
Bi (0.000, 0.000, 0.000) [1 per cell]
Te (0.000, 0.500, 0.500) [2 per cell]
P (0.500, 0.500, 0.500) [1 per cell]
I (0.500, 0.500, 0.000) [1 per cell]

[19]
Tl2BiPI after structural relaxation, computed with PBE.

Values from the calculation:
Total DFT energy (no corrections) ... -2.884 eV/atom
Formation energy without anion corrections ... 230 meV/atom

Lattice parameters (Å, degrees): 6.488 6.488 5.141 90.00 90.00 90.00
Space group P4/mmm (No. 123)
Inequivalent atoms, fractional coordinates:
Tl (0.000, 0.500, 0.000) [2 per cell]
Bi (0.000, 0.000, 0.000) [1 per cell]
P (0.000, 0.000, 0.500) [1 per cell]
I (0.500, 0.500, 0.500) [1 per cell]

[20]
Pa2BiI after structural relaxation, computed with PBE.

Values from the calculation:
Total DFT energy (no corrections) ... -6.176 eV/atom
Formation energy without anion corrections ... -71 meV/atom
Excess energy over the best structure of this formula in the dataset ... 0.00 kcal/mol of atoms

Lattice parameters (Å, degrees): 7.599 7.599 7.599 90.00 90.00 90.00
Space group Fm-3m (No. 225)
Inequivalent atoms, fractional coordinates:
Pa (0.250, 0.250, 0.250) [8 per cell]
Bi (0.000, 0.000, 0.000) [4 per cell]
I (0.000, 0.000, 0.500) [4 per cell]